Material: VO2F
Method: DFT, GGA-PBEsol
State: optimized geometry

```
VO2F
1.0
-1.5473 -2.7678 -1.6020
3.0221 0.0143 -2.9436
7.3089 -8.4056 7.4631
V O F
4 8 4
direct
0.2500 0.1072 0.0873
0.7500 0.6072 0.4127
0.2500 0.3928 0.5873
0.7500 0.8928 0.9127
0.7500 0.0031 0.0584
0.2500 0.4832 0.0888
0.7500 0.9832 0.4112
0.2500 0.5031 0.4416
0.7500 0.4969 0.5584
0.2500 0.0168 0.5888
0.7500 0.5168 0.9112
0.2500 0.9969 0.9416
0.2500 0.0012 0.2121
0.7500 0.5012 0.2879
0.2500 0.4988 0.7121
0.7500 0.9988 0.7879
```

Values from the calculation:
Raw total energy in eV per atom: -7.936
Fermi-level density of states in states/eV per atom: 0.000
ρ in Mg/m³: 3.369
E_form (uncorrected) in eV/atom: -2.421
Crystal system: orthorhombic